(1)
Compound: La2MnSF
Source: Alexandria via LeMat-Bulk
Functional: PBEsol
Structure: optimized geometry

It has space group P4/mmm (No. 123), with a = 5.111 Å, b = 5.111 Å, c = 4.183 Å, α = 90.00°, β = 90.00° and γ = 90.00°. The asymmetric unit holds La at (0.000, 0.500, 0.000), Mn at (0.000, 0.000, 0.000), S at (0.000, 0.000, 0.500) and F at (0.500, 0.500, 0.500).

The calculation puts the formation energy without anion corrections at -1.031 eV per atom. As for the uncorrected energy: -6.384 eV per atom. The value obtained for the density of states at the Fermi level is 4.2 states/eV/f.u.

(2)
Compound: Cu2Te
Source: Alexandria via LeMat-Bulk
Functional: PBEsol
Structure: optimized geometry

It has space group Pnma (No. 62), with a = 7.114 Å, b = 4.077 Å, c = 7.256 Å, α = 90.00°, β = 90.00° and γ = 90.00°. The asymmetric unit holds Cu at (0.068, 0.250, 0.097), Cu at (0.128, 0.250, 0.766) and Te at (0.206, 0.250, 0.423).

The calculation puts the formation energy without anion corrections at 0.065 eV per atom. As for the uncorrected energy: -4.000 eV per atom. The value obtained for the density of states at the Fermi level is 0.4 states/eV/f.u.

(3)
Compound: Zn4CdSb
Source: Alexandria via LeMat-Bulk
Functional: PBEsol
Structure: optimized geometry

It has space group F-43m (No. 216), with a = 7.505 Å, b = 7.505 Å, c = 7.505 Å, α = 90.00°, β = 90.00° and γ = 90.00°. The asymmetric unit holds Zn at (0.124, 0.124, 0.124), Cd at (0.250, 0.250, 0.750) and Sb at (0.000, 0.000, 0.500).

The calculation puts the formation energy without anion corrections at 0.131 eV per atom. As for the uncorrected energy: -1.883 eV per atom. The value obtained for the density of states at the Fermi level is 2.1 states/eV/f.u.

(4)
Compound: LiPtCl2
Source: Alexandria via LeMat-Bulk
Functional: PBEsol
Structure: optimized geometry

It has space group Immm (No. 71), with a = 3.641 Å, b = 6.338 Å, c = 6.736 Å, α = 90.00°, β = 90.00° and γ = 90.00°. The asymmetric unit holds Li at (0.000, 0.000, 0.000), Pt at (0.000, 0.000, 0.500) and Cl at (0.000, 0.500, 0.236).

The calculation puts the formation energy without anion corrections at -0.472 eV per atom. As for the uncorrected energy: -3.709 eV per atom. The value obtained for the density of states at the Fermi level is 1.7 states/eV/f.u. The energy above the most stable polymorph in this dataset is 52 kJ/mol of formula units.

(5)
Compound: KFeSN2
Source: Alexandria via LeMat-Bulk
Functional: PBEsol
Structure: optimized geometry

It has space group P4/mmm (No. 123), with a = 4.543 Å, b = 4.543 Å, c = 5.737 Å, α = 90.00°, β = 90.00° and γ = 90.00°. The asymmetric unit holds K at (0.000, 0.000, 0.000), Fe at (0.500, 0.500, 0.500), S at (0.000, 0.000, 0.500) and N at (0.000, 0.500, 0.000).

The calculation puts the formation energy without anion corrections at 2.691 eV per atom. As for the uncorrected energy: -3.616 eV per atom. The value obtained for the density of states at the Fermi level is 6.5 states/eV/f.u. The energy above the most stable polymorph in this dataset is 1004 kJ/mol of formula units.

(6)
Compound: BrCl3
Source: Alexandria via LeMat-Bulk
Functional: PBEsol
Structure: optimized geometry

It has space group Pmm2 (No. 25), with a = 4.119 Å, b = 4.471 Å, c = 6.771 Å, α = 90.00°, β = 90.00° and γ = 90.00°. The asymmetric unit holds Br at (0.000, 0.000, 0.000), Cl at (0.000, 0.500, 0.109), Cl at (0.500, 0.000, 0.516) and Cl at (0.500, 0.500, 0.593).

The calculation puts the formation energy without anion corrections at 0.077 eV per atom. As for the uncorrected energy: -1.896 eV per atom. The value obtained for the density of states at the Fermi level is 1.3 states/eV/f.u.

(7)
Compound: CaTlRh4
Source: Alexandria via LeMat-Bulk
Functional: PBEsol
Structure: optimized geometry

It has space group F-43m (No. 216), with a = 7.375 Å, b = 7.375 Å, c = 7.375 Å, α = 90.00°, β = 90.00° and γ = 90.00°. The asymmetric unit holds Ca at (0.000, 0.000, 0.000), Tl at (0.250, 0.250, 0.750) and Rh at (0.125, 0.125, 0.375).

As for the uncorrected energy: -6.332 eV per atom. The value obtained for the density of states at the Fermi level is 7.6 states/eV/f.u. The value obtained for the formation enthalpy at 0 K is -0.1120 eV/atom.

(8)
Compound: AlIr2Pb
Source: Alexandria via LeMat-Bulk
Functional: PBEsol
Structure: optimized geometry

It has space group I-42d (No. 122), with a = 4.155 Å, b = 4.155 Å, c = 17.236 Å, α = 90.00°, β = 90.00° and γ = 90.00°. The asymmetric unit holds Al at (0.000, 0.000, 0.000), Ir at (0.192, 0.250, 0.125) and Pb at (0.000, 0.000, 0.500).

As for the uncorrected energy: -6.561 eV per atom. The value obtained for the density of states at the Fermi level is 3.8 states/eV/f.u. The energy above the most stable polymorph in this dataset is 117 kJ/mol of formula units. The value obtained for the formation enthalpy at 0 K is 0.3728 eV/atom.

| no. | density (g cm⁻³) |
| --- | --- |
| 1 | 5.832 |
| 2 | 8.039 |
| 3 | 7.790 |
| 4 | 5.832 |
| 5 | 2.174 |
| 6 | 2.480 |
| 7 | 10.865 |
| 8 | 13.809 |